First-principles (PBE) data for crystalline ScTi3Ni4 at its relaxed geometry, as listed in the Alexandria database.

Computed properties:
space group	R-3m, No. 166
energy relative to the elements	-0.386	eV/atom

Cell lengths 4.2620, 4.2620, 7.6953 Å; angles 73.92, 73.92, 60.00 degrees
Fractional positions:
Ti  0.2492  0.2492  0.2525
Ti  0.5000  0.5000  0.5000
Ti  0.7508  0.7508  0.7475
Ni  0.8691  0.8691  0.3926
Ni  0.6101  0.6101  0.1696
Ni  0.1309  0.1309  0.6074
Ni  0.3899  0.3899  0.8304
Sc  0.0000  0.0000  0.0000

First-principles (PBE) data for crystalline Sm2Ga3SnPd4 at its relaxed geometry, as listed in the Alexandria database.

Computed properties:
space group	P-4m2, No. 115
energy relative to the elements	-0.783	eV/atom

Cell lengths 4.2933, 4.2933, 10.7878 Å; angles 90.00, 90.00, 90.00 degrees
Fractional positions:
Ga  0.0000  0.5000  0.1247
Ga  0.5000  0.0000  0.8753
Ga  0.0000  0.0000  0.5000
Sm  0.5000  0.0000  0.2451
Sm  0.0000  0.5000  0.7549
Sn  0.5000  0.5000  0.5000
Pd  0.5000  0.0000  0.6468
Pd  0.5000  0.5000  0.0000
Pd  0.0000  0.0000  0.0000
Pd  0.0000  0.5000  0.3532

First-principles (PBE) data for crystalline CdTeIr at its relaxed geometry, as listed in the Alexandria database.

Computed properties:
space group	Pm, No. 6
E_form (uncorrected)	0.19	eV/atom

Cell lengths 3.0823, 3.5684, 6.2507 Å; angles 90.00, 89.63, 90.00 degrees
Fractional positions:
Ir  0.7191  0.0000  0.8943
Te  0.2167  0.5000  0.1141
Cd  0.2246  0.5000  0.6038

First-principles (PBE) data for crystalline Ba2Mg6Al at its relaxed geometry, as listed in the Alexandria database.

Computed properties:
space group	C2/m, No. 12
energy relative to the elements	-0.038	eV/atom

Cell lengths 6.9390, 6.4844, 7.1319 Å; angles 84.22, 90.00, 122.35 degrees
Fractional positions:
Al  0.0000  0.0000  0.0000
Mg  0.8395  0.2212  0.6431
Mg  0.8667  0.7333  0.6809
Mg  0.6183  0.7788  0.3569
Mg  0.3817  0.2212  0.6431
Mg  0.1605  0.7788  0.3569
Mg  0.1333  0.2667  0.3191
Ba  0.3385  0.6771  0.8772
Ba  0.6615  0.3229  0.1228

First-principles (PBE) data for crystalline Ti4NbGa2 at its relaxed geometry, as listed in the Alexandria database.

Computed properties:
space group	Pmmm, No. 47
energy relative to the elements	0.043	eV/atom

Cell lengths 2.7957, 6.7128, 6.4653 Å; angles 90.00, 90.00, 90.00 degrees
Fractional positions:
Ti  0.0000  0.7109  0.2860
Ti  0.0000  0.2891  0.7140
Ti  0.0000  0.2891  0.2860
Ti  0.0000  0.7109  0.7140
Ga  0.5000  0.0000  0.5000
Ga  0.5000  0.5000  0.0000
Nb  0.0000  0.0000  0.0000

First-principles (PBE) data for crystalline Y8ZnPd2 at its relaxed geometry, as listed in the Alexandria database.

Computed properties:
space group	Cm, No. 8
energy relative to the elements	-0.251	eV/atom

Cell lengths 5.7041, 7.9222, 7.9222 Å; angles 114.79, 98.88, 98.88 degrees
Fractional positions:
Y  0.3845  0.9206  0.6667
Y  0.1800  0.3818  0.3818
Y  0.5825  0.0849  0.3367
Y  0.9917  0.2281  0.7709
Y  0.5825  0.3367  0.0849
Y  0.9917  0.7709  0.2281
Y  0.8062  0.6324  0.6324
Y  0.3845  0.6667  0.9206
Pd  0.4961  0.3102  0.7000
Pd  0.4961  0.7000  0.3102
Zn  0.1039  0.0017  0.0017

First-principles (PBE) data for crystalline Ti2B at its relaxed geometry, as listed in the Alexandria database.

Computed properties:
space group	I4/mcm, No. 140
energy relative to the elements	-0.396	eV/atom

Cell lengths 4.6535, 4.6535, 4.6535 Å; angles 105.30, 105.30, 118.17 degrees
Fractional positions:
Ti  0.1663  0.3337  0.5000
Ti  0.3337  0.8337  0.1673
Ti  0.6663  0.1663  0.8327
Ti  0.8337  0.6663  0.5000
B  0.2500  0.2500  0.0000
B  0.7500  0.7500  0.0000

First-principles (PBE) data for crystalline MgBeRe2 at its relaxed geometry, as listed in the Alexandria database.

Computed properties:
space group	Cmmm, No. 65
energy relative to the elements	0.446	eV/atom

Cell lengths 4.9874, 4.9874, 2.5814 Å; angles 90.00, 90.00, 116.47 degrees
Fractional positions:
Re  0.0000  0.0000  0.0000
Re  0.5000  0.5000  0.0000
Be  0.5000  0.0000  0.5000
Mg  0.0000  0.5000  0.5000

First-principles (PBE) data for crystalline Fe3Ge2 at its relaxed geometry, as listed in the Alexandria database.

Computed properties:
space group	P-3m1, No. 164
energy relative to the elements	0.017	eV/atom

Cell lengths 4.0182, 4.0182, 4.8965 Å; angles 90.00, 90.00, 120.00 degrees
Fractional positions:
Ge  0.3333  0.6667  0.1723
Ge  0.6667  0.3333  0.8277
Fe  0.0000  0.0000  0.5000
Fe  0.6667  0.3333  0.3294
Fe  0.3333  0.6667  0.6706

First-principles (PBE) data for crystalline CaInMo2 at its relaxed geometry, as listed in the Alexandria database.

Computed properties:
space group	Pmmm, No. 47
energy relative to the elements	0.668	eV/atom

Cell lengths 2.7987, 4.9645, 5.7585 Å; angles 90.00, 90.00, 90.00 degrees
Fractional positions:
Mo  0.0000  0.0000  0.4751
Mo  0.0000  0.0000  0.0249
In  0.5000  0.5000  0.7500
Ca  0.5000  0.5000  0.2500

First-principles (PBE) data for crystalline TlFe2HgCl6 at its relaxed geometry, as listed in the Alexandria database.

Computed properties:
space group	C2/c, No. 15
E_form (uncorrected)	-0.73	eV/atom

Cell lengths 10.5904, 10.5904, 5.9823 Å; angles 87.86, 87.86, 83.37 degrees
Fractional positions:
Cl  0.8634  0.7125  0.2621
Cl  0.2875  0.1366  0.2379
Cl  0.4842  0.2167  0.7448
Cl  0.1366  0.2875  0.7379
Cl  0.2167  0.4842  0.2448
Cl  0.5158  0.7833  0.2552
Cl  0.7833  0.5158  0.7552
Cl  0.0528  0.7257  0.7347
Cl  0.7125  0.8634  0.7621
Cl  0.9472  0.2743  0.2653
Cl  0.7257  0.0528  0.2347
Cl  0.2743  0.9472  0.7653
Fe  0.8579  0.6946  0.6543
Fe  0.1421  0.3054  0.3457
Fe  0.3054  0.1421  0.8457
Fe  0.6946  0.8579  0.1543
Hg  0.4171  0.5829  0.7500
Hg  0.5829  0.4171  0.2500
Tl  0.2137  0.7863  0.2500
Tl  0.7863  0.2137  0.7500

First-principles (PBE) data for crystalline YThMnTc at its relaxed geometry, as listed in the Alexandria database.

Computed properties:
space group	F-43m, No. 216
energy relative to the elements	0.084	eV/atom

Cell lengths 4.9881, 4.9881, 4.9881 Å; angles 60.00, 60.00, 60.00 degrees
Fractional positions:
Tc  0.2500  0.2500  0.2500
Mn  0.7500  0.7500  0.7500
Th  0.0000  0.0000  0.0000
Y  0.5000  0.5000  0.5000

Calculated energy (eV per formula unit), listed in the same order as above: -56.2, -51.1, -12.3, -17.5, -47.4, -66.1, -23.7, -28.4, -34.5, -23.7, -37.9, -33.1